Entry 1:
The following is a DFT calculation (PBE) of a relaxed structure of NpCuSe2.

Cell lengths 4.119, 6.487, 7.121 Å; angles 92.14, 90.00, 90.00 degrees
Sites, in units of the cell vectors:
1 Cu 0.500 0.362 0.844
2 Cu 0.500 0.638 0.156
3 Se 0.500 0.256 0.175
4 Se 0.500 0.744 0.825
5 Se 0.000 0.747 0.326
6 Se 0.000 0.253 0.674
7 Np 0.500 0.000 0.500
8 Np 0.000 0.000 0.000

Results
Density (Mg/m³): 8.01
Raw formation energy (eV per atom): -0.766

Entry 2:
The following is a DFT calculation (PBE) of a relaxed structure of NpCuSe2.

Cell lengths 7.352, 6.609, 7.107 Å; angles 82.75, 90.00, 90.00 degrees
Sites, in units of the cell vectors:
1 Cu 0.837 0.936 0.538
2 Cu 0.337 0.064 0.962
3 Cu 0.663 0.936 0.038
4 Cu 0.163 0.064 0.462
5 Np 0.049 0.693 0.203
6 Np 0.549 0.307 0.297
7 Np 0.951 0.307 0.797
8 Np 0.451 0.693 0.703
9 Se 0.891 0.102 0.211
10 Se 0.391 0.898 0.289
11 Se 0.109 0.898 0.789
12 Se 0.729 0.583 0.998
13 Se 0.609 0.102 0.711
14 Se 0.271 0.417 0.002
15 Se 0.771 0.583 0.498
16 Se 0.229 0.417 0.502

Results
Density (Mg/m³): 8.89
Raw formation energy (eV per atom): -0.775

Entry 3:
The following is a DFT calculation (PBE) of a relaxed structure of Np3Cu5Se12.

Cell lengths 13.307, 13.307, 13.307 Å; angles 109.47, 109.47, 109.47 degrees
Sites, in units of the cell vectors:
1 Np 0.250 0.625 0.875
2 Np 0.750 0.875 0.625
3 Np 0.625 0.250 0.375
4 Np 0.750 0.375 0.125
5 Np 0.625 0.375 0.750
6 Np 0.250 0.125 0.375
7 Np 0.875 0.125 0.250
8 Np 0.125 0.875 0.750
9 Np 0.125 0.250 0.875
10 Np 0.875 0.750 0.125
11 Np 0.375 0.750 0.625
12 Np 0.375 0.625 0.250
13 Se 0.413 0.375 0.588
14 Se 0.462 0.787 0.875
15 Se 0.175 0.088 0.713
16 Se 0.713 0.588 0.175
17 Se 0.875 0.588 0.913
18 Se 0.675 0.213 0.588
19 Se 0.675 0.462 0.587
20 Se 0.462 0.675 0.087
21 Se 0.213 0.675 0.088
22 Se 0.825 0.913 0.038
23 Se 0.825 0.912 0.287
24 Se 0.038 0.413 0.825
25 Se 0.625 0.587 0.912
26 Se 0.587 0.962 0.675
27 Se 0.913 0.825 0.538
28 Se 0.962 0.375 0.287
29 Se 0.125 0.713 0.538
30 Se 0.088 0.913 0.375
31 Se 0.912 0.087 0.625
32 Se 0.413 0.038 0.325
33 Se 0.538 0.325 0.913
34 Se 0.412 0.125 0.587
35 Se 0.375 0.413 0.088
36 Se 0.625 0.038 0.213
37 Se 0.538 0.213 0.125
38 Se 0.038 0.625 0.713
39 Se 0.175 0.087 0.962
40 Se 0.325 0.787 0.412
41 Se 0.325 0.538 0.413
42 Se 0.213 0.538 0.625
43 Se 0.588 0.713 0.675
44 Se 0.125 0.412 0.087
45 Se 0.875 0.287 0.462
46 Se 0.588 0.875 0.413
47 Se 0.088 0.175 0.213
48 Se 0.962 0.587 0.175
49 Se 0.287 0.875 0.962
50 Se 0.787 0.325 0.912
51 Se 0.287 0.412 0.825
52 Se 0.412 0.287 0.325
53 Se 0.375 0.962 0.787
54 Se 0.912 0.825 0.787
55 Se 0.587 0.625 0.412
56 Se 0.087 0.912 0.125
57 Se 0.787 0.462 0.375
58 Se 0.713 0.125 0.038
59 Se 0.087 0.175 0.462
60 Se 0.913 0.088 0.875
61 Cu 0.250 0.875 0.125
62 Cu 0.500 0.000 0.500
63 Cu 0.750 0.625 0.375
64 Cu 0.375 0.250 0.125
65 Cu 0.875 0.250 0.625
66 Cu 0.125 0.375 0.250
67 Cu 0.000 0.500 0.000
68 Cu 0.875 0.625 0.750
69 Cu 0.750 0.125 0.875
70 Cu 0.500 0.000 0.000
71 Cu 0.625 0.750 0.875
72 Cu 0.500 0.500 0.500
73 Cu 0.125 0.750 0.375
74 Cu 0.000 0.500 0.500
75 Cu 0.500 0.500 0.000
76 Cu 0.000 0.000 0.500
77 Cu 0.375 0.125 0.750
78 Cu 0.625 0.875 0.250
79 Cu 0.250 0.375 0.625
80 Cu 0.000 0.000 0.000

Results
Density (Mg/m³): 7.24
Raw formation energy (eV per atom): -0.484

Entry 4:
The following is a DFT calculation (PBE) of a relaxed structure of NpCu2Se4.

Cell lengths 4.030, 4.030, 13.024 Å; angles 81.10, 81.10, 60.00 degrees
Sites, in units of the cell vectors:
1 Se 0.126 0.126 0.622
2 Se 0.626 0.626 0.121
3 Se 0.874 0.874 0.378
4 Se 0.374 0.374 0.879
5 Cu 0.189 0.189 0.432
6 Cu 0.811 0.811 0.568
7 Np 0.000 0.000 0.000

Results
Density (Mg/m³): 6.26
Raw formation energy (eV per atom): -0.476

Entry 5:
The following is a DFT calculation (PBE) of a relaxed structure of NpCuSe.

Cell lengths 5.312, 5.312, 6.498 Å; angles 78.05, 78.05, 42.71 degrees
Sites, in units of the cell vectors:
1 Cu 0.674 0.674 0.249
2 Cu 0.080 0.080 0.059
3 Np 0.989 0.989 0.537
4 Np 0.764 0.764 0.770
5 Se 0.290 0.290 0.430
6 Se 0.463 0.463 0.877

Results
Density (Mg/m³): 10.39
Raw formation energy (eV per atom): -0.209

Entry 6:
The following is a DFT calculation (PBE) of a relaxed structure of Np2Cu4Se5.

Cell lengths 4.036, 4.036, 16.759 Å; angles 83.08, 83.08, 60.00 degrees
Sites, in units of the cell vectors:
1 Se 0.764 0.764 0.708
2 Se 0.366 0.366 0.901
3 Se 0.500 0.500 0.500
4 Se 0.236 0.236 0.292
5 Se 0.634 0.634 0.099
6 Cu 0.585 0.585 0.244
7 Cu 0.314 0.314 0.059
8 Cu 0.415 0.415 0.756
9 Cu 0.686 0.686 0.941
10 Np 0.131 0.131 0.606
11 Np 0.869 0.869 0.394

Results
Density (Mg/m³): 7.97
Raw formation energy (eV per atom): -0.501

Entry 7:
The following is a DFT calculation (PBE) of a relaxed structure of NpCuSe2.

Cell lengths 4.328, 4.328, 7.908 Å; angles 74.12, 74.12, 60.00 degrees
Sites, in units of the cell vectors:
1 Se 0.101 0.101 0.698
2 Se 0.899 0.899 0.302
3 Cu 0.000 0.000 0.000
4 Np 0.500 0.500 0.500

Results
Density (Mg/m³): 6.25
Raw formation energy (eV per atom): -0.625

Entry 8:
The following is a DFT calculation (PBE) of a relaxed structure of Np3CuSe6.

Cell lengths 6.665, 8.847, 8.847 Å; angles 101.25, 90.00, 90.00 degrees
Sites, in units of the cell vectors:
1 Se 0.204 0.446 0.907
2 Se 0.673 0.966 0.034
3 Se 0.704 0.907 0.446
4 Se 0.679 0.633 0.693
5 Se 0.179 0.693 0.633
6 Se 0.672 0.223 0.777
7 Se 0.172 0.777 0.223
8 Se 0.179 0.367 0.307
9 Se 0.204 0.093 0.554
10 Se 0.173 0.034 0.966
11 Se 0.679 0.307 0.367
12 Se 0.704 0.554 0.093
13 Cu 0.043 0.202 0.798
14 Cu 0.543 0.798 0.202
15 Np 0.472 0.276 0.072
16 Np 0.972 0.072 0.276
17 Np 0.389 0.391 0.609
18 Np 0.472 0.928 0.724
19 Np 0.972 0.724 0.928
20 Np 0.889 0.609 0.391

Results
Density (Mg/m³): 8.10
Raw formation energy (eV per atom): -0.939

Entry 9:
The following is a DFT calculation (PBE) of a relaxed structure of NpCu2Se3.

Cell lengths 4.044, 6.501, 10.736 Å; angles 93.15, 90.00, 90.00 degrees
Sites, in units of the cell vectors:
1 Se 0.250 0.205 0.228
2 Se 0.750 0.705 0.121
3 Se 0.750 0.258 0.560
4 Se 0.250 0.295 0.879
5 Se 0.750 0.795 0.772
6 Se 0.250 0.742 0.440
7 Cu 0.250 0.498 0.082
8 Cu 0.750 0.870 0.553
9 Cu 0.250 0.130 0.447
10 Cu 0.750 0.502 0.918
11 Np 0.750 0.466 0.323
12 Np 0.250 0.534 0.677

Results
Density (Mg/m³): 7.08
Polymorph energy (0 for the lowest one) (kcal/mol of atoms): 0.00
Raw formation energy (eV per atom): -0.604

Entry 10:
The following is a DFT calculation (PBE) of a relaxed structure of Sm2NpCuSe5.

Cell lengths 4.046, 9.106, 12.080 Å; angles 90.00, 90.00, 102.84 degrees
Sites, in units of the cell vectors:
1 Se 0.639 0.278 0.502
2 Se 0.684 0.367 0.844
3 Se 0.956 0.911 0.561
4 Se 0.044 0.089 0.061
5 Se 0.710 0.419 0.178
6 Se 0.361 0.722 0.002
7 Se 0.498 0.996 0.779
8 Se 0.290 0.581 0.678
9 Se 0.502 0.004 0.279
10 Se 0.316 0.633 0.344
11 Np 0.198 0.395 0.011
12 Np 0.802 0.605 0.511
13 Cu 0.436 0.872 0.454
14 Cu 0.564 0.128 0.954
15 Sm 0.879 0.757 0.809
16 Sm 0.107 0.215 0.686
17 Sm 0.121 0.243 0.309
18 Sm 0.893 0.785 0.186

Results
Density (Mg/m³): 7.62
Raw formation energy (eV per atom): -1.351

Entry 11:
The following is a DFT calculation (PBE) of a relaxed structure of NpCuTeSe.

Cell lengths 4.872, 4.872, 7.893 Å; angles 90.00, 90.00, 90.00 degrees
Sites, in units of the cell vectors:
1 Te 0.000 0.500 0.865
2 Te 0.500 0.000 0.135
3 Se 0.000 0.000 0.500
4 Se 0.500 0.500 0.500
5 Cu 0.500 0.500 0.000
6 Cu 0.000 0.000 0.000
7 Np 0.000 0.500 0.302
8 Np 0.500 0.000 0.698

Results
Density (Mg/m³): 8.99
Raw formation energy (eV per atom): -0.489

Entry 12:
The following is a DFT calculation (PBE) of a relaxed structure of NpTl2CuSe4.

Cell lengths 4.157, 8.178, 6.531 Å; angles 73.33, 90.00, 90.00 degrees
Sites, in units of the cell vectors:
1 Se 0.000 0.301 0.234
2 Se 0.000 0.699 0.766
3 Se 0.500 0.306 0.748
4 Se 0.500 0.694 0.252
5 Np 0.000 0.500 0.500
6 Cu 0.500 0.500 0.000
7 Tl 0.500 0.000 0.500
8 Tl 0.000 0.000 0.000

Results
Density (Mg/m³): 8.00
Raw formation energy (eV per atom): -0.541